Entry from Alexandria: a relaxed ZrSc4Ni crystal (PBE).

```
data_ZrSc4Ni
_symmetry_space_group_name_H-M 'P 4/m m m'
_symmetry_Int_Tables_number 123
_symmetry_space_group_name_Hall '-P 4 2'
_cell_length_a 3.2011
_cell_length_b 3.2011
_cell_length_c 12.6655
_cell_angle_alpha 90.00
_cell_angle_beta 90.00
_cell_angle_gamma 90.00
loop_
_atom_site_label
_atom_site_type_symbol
_atom_site_fract_x
_atom_site_fract_y
_atom_site_fract_z
Zr1 Zr 0.0000 0.0000 0.0000
Sc1 Sc 0.0000 0.0000 0.3793
Sc2 Sc 0.5000 0.5000 0.1760
Ni1 Ni 0.5000 0.5000 0.5000
```

Results
V: 129.8 Å³ per cell
Formation enthalpy at 0 K: -0.90 eV per formula unit
Mass density: 4.2 g/cm3
Electronic total energy: -40.553 eV per formula unit